1.
Below is crystalline Na2TlTc at its relaxed geometry, with properties calculated at the PBE level.

Lattice parameters (Å, degrees): 5.113 5.113 5.113 60.00 60.00 60.00
Last column: magnetic moment on the atom in μB.
Element x y z (fractional)
Tl1 0.500 0.500 0.500  -0.07
Na1 0.250 0.250 0.250  -0.01
Na2 0.750 0.750 0.750  -0.01
Tc1 0.000 0.000 0.000  2.88

E_tot   -2.97 eV per atom
D(E_F)   4.2 states/eV/f.u.
ΔE to the lowest computed polymorph   0.0 meV/atom
Total moment   3.09 Bohr magnetons per cell

2.
Below is crystalline NaY2TlTc at its relaxed geometry, with properties calculated at the PBE level.

Lattice parameters (Å, degrees): 5.741 5.212 5.741 90.00 90.00 90.00
Last column: magnetic moment on the atom in μB.
Element x y z (fractional)
Y1 0.500 0.000 0.000  -0.20
Y2 0.000 0.000 0.500  -0.16
Tc1 0.500 0.500 0.500  2.96
Na1 0.000 0.500 0.000  0.00
Tl1 0.000 0.000 0.000  0.00

E_tot   -4.26 eV per atom
D(E_F)   6.5 states/eV/f.u.
Total moment   2.57 Bohr magnetons per cell

3.
Below is crystalline NaV2Tc at its relaxed geometry, with properties calculated at the PBE level.

Lattice parameters (Å, degrees): 3.770 3.770 9.485 78.54 78.54 90.00
Element x y z (fractional)
Tc1 0.000 0.000 0.000
Tc2 0.750 0.250 0.500
V1 0.875 0.906 0.750
V2 0.656 0.125 0.250
Na1 0.250 0.750 0.500
V3 0.094 0.625 0.250
V4 0.375 0.344 0.750
Na2 0.500 0.500 0.000

E_tot   -6.27 eV per atom
D(E_F)   4.8 states/eV/f.u.
ΔE to the lowest computed polymorph   534.8 meV/atom
Total moment   0.00 Bohr magnetons per cell

4.
Below is crystalline NaV2Tc at its relaxed geometry, with properties calculated at the PBE level.

Lattice parameters (Å, degrees): 4.399 4.399 4.399 60.00 60.00 60.00
Element x y z (fractional)
V1 0.250 0.250 0.250
Na1 0.000 0.000 0.000
Tc1 0.500 0.500 0.500
V2 0.750 0.750 0.750

E_tot   -6.81 eV per atom
D(E_F)   4.4 states/eV/f.u.
ΔE to the lowest computed polymorph   0.0 meV/atom
Total moment   0.05 Bohr magnetons per cell

5.
Below is crystalline Na2VTcW at its relaxed geometry, with properties calculated at the PBE level.

Lattice parameters (Å, degrees): 5.479 4.397 5.479 90.00 90.00 90.00
Last column: magnetic moment on the atom in μB.
Element x y z (fractional)
W1 0.000 0.000 0.000  -0.24
Na1 0.500 0.000 0.000  -0.01
V1 0.000 0.500 0.000  0.26
Tc1 0.500 0.500 0.500  3.46
Na2 0.000 0.000 0.500  -0.01

E_tot   -4.75 eV per atom
D(E_F)   7.0 states/eV/f.u.
Total moment   3.86 Bohr magnetons per cell

6.
Below is crystalline NaV2ZnTc at its relaxed geometry, with properties calculated at the PBE level.

Lattice parameters (Å, degrees): 4.581 4.648 4.581 90.00 90.00 90.00
Element x y z (fractional)
V1 0.000 0.000 0.500
Tc1 0.000 0.500 0.000
V2 0.500 0.000 0.000
Zn1 0.000 0.000 0.000
Na1 0.500 0.500 0.500

E_tot   -4.67 eV per atom
D(E_F)   4.4 states/eV/f.u.
Total moment   0.00 Bohr magnetons per cell

7.
Below is crystalline NaTcW3 at its relaxed geometry, with properties calculated at the PBE level.

Lattice parameters (Å, degrees): 4.787 4.787 4.787 90.00 90.00 90.00
Element x y z (fractional)
Tc1 0.000 0.000 0.000
W1 0.000 0.000 0.500
W2 0.000 0.500 0.000
W3 0.500 0.000 0.000
Na1 0.500 0.500 0.500

E_tot   -8.18 eV per atom
D(E_F)   7.0 states/eV/f.u.
ΔE to the lowest computed polymorph   0.0 meV/atom
Total moment   0.00 Bohr magnetons per cell

8.
Below is crystalline NaTc3W at its relaxed geometry, with properties calculated at the PBE level.

Lattice parameters (Å, degrees): 4.786 4.786 4.786 90.00 90.00 90.00
Last column: magnetic moment on the atom in μB.
Element x y z (fractional)
Tc1 0.000 0.000 0.500  0.98
W1 0.000 0.000 0.000  -0.16
Na1 0.500 0.500 0.500  0.00
Tc2 0.000 0.500 0.000  0.95
Tc3 0.500 0.000 0.000  0.85

E_tot   -7.48 eV per atom
D(E_F)   4.8 states/eV/f.u.
ΔE to the lowest computed polymorph   0.0 meV/atom
Total moment   2.94 Bohr magnetons per cell